Entry 1:
Below is crystalline Rb3IF8 at its relaxed geometry, with properties calculated at the PBE-GGA level.

Cell: 6.159 6.159 6.159 Å, 90.00 90.00 90.00°
Space group Pm-3m (No. 221)
Symmetry-distinct sites (fractional):
Rb1 0.000 0.000 0.500 (multiplicity 3)
I1 0.500 0.500 0.500 (multiplicity 1)
F1 0.298 0.298 0.298 (multiplicity 8)

Computed properties:
Energy relative to the elements, uncorrected: -2187.4 meV per atom
Total magnetic moment: 0.00 μB/f.u.
Calculated volume: 233.6 Å³ per cell
Crystal system: cubic

***

Entry 2:
Below is crystalline Rb3IF2 at its relaxed geometry, with properties calculated at the PBE-GGA level.

Cell: 12.754 7.981 7.465 Å, 90.00 90.00 90.00°
Space group Cmcm (No. 63)
Symmetry-distinct sites (fractional):
Rb1 0.000 0.046 0.250 (multiplicity 4)
Rb2 0.232 0.308 0.250 (multiplicity 8)
I1 0.000 0.397 0.750 (multiplicity 4)
F1 0.168 0.000 0.000 (multiplicity 8)

Computed properties:
Energy relative to the elements, uncorrected: -2178.5 meV per atom
Total magnetic moment: 0.00 μB/f.u.
Calculated volume: 759.9 Å³ per cell
Crystal system: orthorhombic

***

Entry 3:
Below is crystalline Rb2IF7 at its relaxed geometry, with properties calculated at the PBE-GGA level.

Cell: 14.493 7.254 10.083 Å, 90.00 129.66 90.00°
Space group C2/c (No. 15)
Symmetry-distinct sites (fractional):
Rb1 0.186 0.073 0.277 (multiplicity 8)
I1 0.000 0.391 0.750 (multiplicity 4)
F1 0.000 0.108 0.750 (multiplicity 4)
F2 0.094 0.338 0.006 (multiplicity 8)
F3 0.115 0.375 0.369 (multiplicity 8)
F4 0.143 0.323 0.763 (multiplicity 8)

Computed properties:
Energy relative to the elements, uncorrected: -2145.4 meV per atom
Energy above the lowest structure with this stoichiometry: 0.000 eV/atom
Total magnetic moment: 0.00 μB/f.u.
Calculated volume: 816.1 Å³ per cell
Crystal system: monoclinic

***

Entry 4:
Below is crystalline RbIF at its relaxed geometry, with properties calculated at the PBE-GGA level.

Cell: 3.569 3.569 13.680 Å, 90.00 90.00 90.00°
Space group I4mm (No. 107)
Symmetry-distinct sites (fractional):
Rb1 0.000 0.000 0.000 (multiplicity 2)
I1 0.000 0.000 0.264 (multiplicity 2)
F1 0.000 0.000 0.561 (multiplicity 2)

Computed properties:
Energy relative to the elements, uncorrected: -1484.2 meV per atom
Total magnetic moment: 0.00 μB/f.u.
Calculated volume: 174.2 Å³ per cell
Crystal system: tetragonal

***

Entry 5:
Below is crystalline Rb2IF at its relaxed geometry, with properties calculated at the PBE-GGA level.

Cell: 4.009 4.009 8.194 Å, 90.00 90.00 90.00°
Space group P4/mmm (No. 123)
Symmetry-distinct sites (fractional):
Rb1 0.000 0.000 0.210 (multiplicity 2)
I1 0.500 0.500 0.500 (multiplicity 1)
F1 0.500 0.500 0.000 (multiplicity 1)

Computed properties:
Energy relative to the elements, uncorrected: -1872.8 meV per atom
Energy above the lowest structure with this stoichiometry: 0.204 eV/atom
Total magnetic moment: 0.00 μB/f.u.
Calculated volume: 131.7 Å³ per cell
Crystal system: tetragonal

***

Entry 6:
Below is crystalline Rb12I3F5 at its relaxed geometry, with properties calculated at the PBE-GGA level.

Cell: 19.358 19.358 19.358 Å, 90.00 90.00 90.00°
Space group Ia-3d (No. 230)
Symmetry-distinct sites (fractional):
Rb1 0.037 0.043 0.649 (multiplicity 96)
I1 0.000 0.250 0.125 (multiplicity 24)
F1 0.000 0.000 0.000 (multiplicity 16)
F2 0.000 0.250 0.375 (multiplicity 24)

Computed properties:
Energy relative to the elements, uncorrected: -1650.9 meV per atom
Total magnetic moment: 0.00 μB/f.u.
Calculated volume: 7254.6 Å³ per cell
Crystal system: cubic

***

Entry 7:
Below is crystalline RbI3F at its relaxed geometry, with properties calculated at the PBE-GGA level.

Cell: 7.132 7.132 7.132 Å, 90.00 90.00 90.00°
Space group Pm-3m (No. 221)
Symmetry-distinct sites (fractional):
Rb1 0.000 0.000 0.000 (multiplicity 1)
I1 0.000 0.000 0.500 (multiplicity 3)
F1 0.500 0.500 0.500 (multiplicity 1)

Computed properties:
Energy relative to the elements, uncorrected: -0.4 meV per atom
Energy above the lowest structure with this stoichiometry: 0.656 eV/atom
Total magnetic moment: 3.00 μB/f.u.
Calculated volume: 362.7 Å³ per cell
Crystal system: cubic

***

Entry 8:
Below is crystalline Rb5I4F at its relaxed geometry, with properties calculated at the PBE-GGA level.

Cell: 11.219 11.219 7.422 Å, 90.00 90.00 90.00°
Space group I4 (No. 79)
Symmetry-distinct sites (fractional):
Rb1 0.000 0.000 0.000 (multiplicity 2)
Rb2 0.087 0.260 0.417 (multiplicity 8)
I1 0.090 0.301 0.914 (multiplicity 8)
F1 0.000 0.000 0.365 (multiplicity 2)

Computed properties:
Energy relative to the elements, uncorrected: -1682.4 meV per atom
Total magnetic moment: 0.00 μB/f.u.
Calculated volume: 934.2 Å³ per cell
Crystal system: tetragonal